This record from Alexandria describes an optimized crystal structure of Co2Ag2Sn. The functional is PBE.

a b c (Å): 6.3051 6.3051 4.1343
angles (deg): 90.00 90.00 90.00
With the nearest neighbours (Å) after each atom.
Space group P4/mbm (No. 127)
Unique sites:
Co (0.1244, 0.3756, 0.0000)  1 Co 2.22
Ag (0.1682, 0.6682, 0.5000)  6 Co 2.77-2.78, 1 Ag 3.00
Sn (0.0000, 0.0000, 0.0000)  4 Co 2.49

energy: -44.9 eV per cell

***

This record from Alexandria describes an optimized crystal structure of CoAgSn3. The functional is PBE.

a b c (Å): 4.9277 4.9277 4.9277
angles (deg): 90.00 90.00 90.00
With the nearest neighbours (Å) after each atom.
Space group Pm-3m (No. 221)
Unique sites:
Co (0.0000, 0.0000, 0.0000)  6 Sn 2.46
Ag (0.5000, 0.5000, 0.5000)  12 Sn 3.48
Sn (0.0000, 0.0000, 0.5000)  2 Co 2.46

offset from the most stable computed form: 0.000 eV/atom